Record 1
SrLi2Tl2Cd GGA-PBE optimized geometry; symmetry = P-3m1; calculated formation energy = -1.66 eV per formula unit
1.0
-1.7320 -4.5004 -0.0533
4.6728 0.7960 -0.8876
1.5174 -0.6715 7.3858
Li Tl Cd Sr
2 2 1 1
Cartesian
0.9414 -2.9732 2.2895
3.5167 -1.4027 4.1553
2.9418 -1.1483 1.3569
1.5163 -3.2277 5.0879
0.7587 -0.3358 3.6929
0.0000 0.0000 0.0000

---

Record 2
Y2ErAg3 GGA-PBE optimized geometry; symmetry = P4/mmm; calculated formation energy = -2.01 eV per formula unit
1.0
3.6151 0.0000 0.0000
0.0000 3.6151 0.0000
0.0000 0.0000 10.9887
Ag Er Y
3 1 2
Cartesian
0.0000 0.0000 0.0000
0.0000 0.0000 7.2791
0.0000 0.0000 3.7096
1.8076 1.8076 5.4943
1.8076 1.8076 9.1429
1.8076 1.8076 1.8458

---

Record 3
Er9TmTh2 GGA-PBE optimized geometry; symmetry = P4/mmm; calculated formation energy = 0.42 eV per formula unit
1.0
4.9813 0.0000 0.0000
0.0000 4.9813 0.0000
0.0000 0.0000 14.8949
Er Tm Th
9 1 2
Cartesian
0.0000 2.4907 12.4052
0.0000 2.4907 7.4475
2.4907 2.4907 4.9506
2.4907 0.0000 12.4052
2.4907 0.0000 7.4475
0.0000 2.4907 2.4897
2.4907 2.4907 9.9444
2.4907 0.0000 2.4897
2.4907 2.4907 0.0000
0.0000 0.0000 0.0000
0.0000 0.0000 9.9174
0.0000 0.0000 4.9775

---

Record 4
RbPAu2 GGA-PBE optimized geometry; symmetry = I-42d; calculated formation energy = -1.66 eV per formula unit
1.0
6.0778 0.0000 0.0000
0.0000 6.0778 0.0000
3.0389 3.0389 7.1990
Au Rb P
4 2 2
Cartesian
3.0251 4.5584 1.7997
3.0527 1.5195 1.7997
4.5584 6.0640 5.3992
7.5973 6.0917 5.3992
6.0778 3.0389 3.5995
0.0000 0.0000 0.0000
3.0389 6.0778 3.5995
3.0389 3.0389 0.0000

---

Record 5
Mg6Zn5 GGA-PBE optimized geometry; symmetry = C2/m; calculated formation energy = -0.61 eV per formula unit
1.0
4.6137 0.0902 -1.2165
-0.7301 5.8334 -2.3400
0.2840 -0.2545 7.8352
Mg Zn
6 5
Cartesian
-0.0492 5.2643 0.1730
2.0362 4.2146 5.4517
0.3276 2.2577 1.3801
2.1313 1.4545 -1.1729
3.8399 3.4114 2.8986
4.2167 0.4048 4.1057
2.4762 3.8929 0.3760
1.2989 4.6747 2.6942
-0.3651 2.9167 -1.1700
1.6913 1.7761 3.9028
2.8686 0.9943 1.5845

---

Record 6
RbTlAu2 GGA-PBE optimized geometry; symmetry = P2_1/m; calculated formation energy = -0.78 eV per formula unit; E above lowest polymorph = 0.0 meV per atom
1.0
4.9825 -0.0052 0.0000
-2.4923 6.5492 0.0000
0.0000 0.0000 8.1710
Rb Au Tl
2 4 2
Cartesian
2.4947 0.8456 2.0428
-0.0045 5.6984 6.1283
2.4902 3.1685 4.7315
0.0000 3.3755 3.4395
2.4902 3.1685 7.5250
0.0000 3.3755 0.6460
-0.0020 1.9786 6.1283
2.4922 4.5653 2.0428

---

Record 7
LiPmEuCu GGA-PBE optimized geometry; symmetry = F-43m; calculated formation energy = 0.12 eV per formula unit
1.0
-3.7031 -1.2155 3.4799
-3.2839 -3.9509 -0.9520
0.3607 -4.4203 2.7623
Pm Li Eu Cu
1 1 1 1
Cartesian
-3.3131 -4.7934 2.6451
-4.9697 -7.1901 3.9677
0.0000 0.0000 0.0000
-1.6566 -2.3967 1.3226

---

Record 8
Co2AgAu GGA-PBE optimized geometry; symmetry = I-4m2; calculated formation energy = 1.35 eV per formula unit
1.0
-3.8665 -2.7829 0.0389
-0.1929 -2.4869 4.0588
0.5963 4.6426 -0.8868
Co Au Ag
2 1 1
Cartesian
-0.8131 -0.2396 2.6104
0.0000 0.0000 0.0000
-2.6499 -0.3876 0.6005
-2.0297 -2.6349 2.0488

---

Record 9
TbEr4Ag2 GGA-PBE optimized geometry; symmetry = R-3m; calculated formation energy = 1.16 eV per formula unit
1.0
-1.4299 -2.8345 -3.8085
-3.5896 -3.3630 0.6232
-8.5213 4.7766 -3.5831
Er Tb Ag
4 1 2
Cartesian
-7.1292 -4.0896 -3.9620
-11.1413 -0.0809 -5.4392
-6.4116 2.6687 -2.8064
-2.3996 -1.3401 -1.3292
-6.7704 -0.7105 -3.3842
-4.6880 -2.7912 -2.6174
-8.8529 1.3703 -4.1509

---

Record 10
CaMgGaP2 GGA-PBE optimized geometry; symmetry = P2/c; calculated formation energy = -2.38 eV per formula unit
1.0
5.0214 0.0000 0.0000
0.0000 6.5140 0.2111
0.0000 -1.7365 6.7155
P Mg Ga Ca
4 2 2 2
Cartesian
1.4606 3.9865 3.1032
3.5608 0.7910 3.8234
3.5608 3.1182 6.4609
1.4606 1.6593 0.4656
2.5207 -0.4341 1.6789
2.5007 -1.3024 5.0366
0.0000 -0.8683 3.3577
0.0000 0.0000 0.0000
4.0449 2.8229 1.7844
0.9765 1.9546 5.1421

---

Record 11
BaHPt GGA-PBE optimized geometry; symmetry = P-6m2; E above lowest polymorph = 422.8 meV per atom
1.0
-2.9750 1.8176 -2.4668
2.2352 -0.8806 -3.3446
-2.7908 -2.6955 1.3797
H Pt Ba
1 1 1
Cartesian
0.0641 -1.1827 -2.1809
-0.4958 0.3029 -0.4111
-3.0989 -0.8787 -1.8397

---

Record 12
Sc4Hg2Pt GGA-PBE optimized geometry; symmetry = R-3m; calculated formation energy = -3.42 eV per formula unit
1.0
4.5957 0.0000 1.4358
2.0736 4.1013 1.4358
-0.0879 -0.0540 8.3541
Sc Hg Pt
4 2 1
Cartesian
2.4034 1.4780 8.4529
0.7486 0.4604 5.6767
4.1780 2.5693 2.7729
5.8328 3.5869 5.5490
4.9854 3.0658 8.2614
1.5960 0.9815 2.9644
0.0000 0.0000 0.0000

---

no.,V (Å³/cell),size of the total moment (Bohr magnetons per cell)
1,152.5,0.0
2,143.6,0.0
3,369.6,0.0
4,265.9,0.0
5,210.4,0.0
6,266.5,0.0
7,100.9,7.1
8,58.1,3.5
9,213.0,0.0
10,221.5,0.0
11,62.7,0.0
12,158.2,0.0